Record 1
! Pr3YSb3 PBE-GGA relaxed; values from VASP
&SYSTEM
  ibrav = 0, nat = 28, ntyp = 3
/
ATOMIC_SPECIES
Sb 121.76 Sb.upf
Y 88.91 Y.upf
Pr 140.91 Pr.upf
ATOMIC_POSITIONS angstrom
Sb 2.317 1.222 4.770
Sb 3.530 4.733 7.068
Sb 1.222 4.770 2.317
Sb 2.435 8.281 0.019
Sb 4.770 2.317 1.222
Sb 5.973 9.484 7.186
Sb 7.186 5.973 9.484
Sb 9.484 7.186 5.973
Sb 4.733 7.068 3.530
Sb 8.281 0.019 2.435
Sb 0.019 2.435 8.281
Sb 7.068 3.530 4.733
Y 8.821 0.682 5.434
Y 4.069 4.069 4.069
Y 0.682 5.434 8.821
Y 5.434 8.821 0.682
Pr 1.685 7.818 3.067
Pr 8.868 8.868 8.868
Pr 3.045 7.796 6.458
Pr 7.818 3.067 1.685
Pr 3.067 1.685 7.818
Pr 0.635 4.116 5.387
Pr 7.796 6.458 3.045
Pr 6.458 3.045 7.796
Pr 1.707 1.707 1.707
Pr 5.387 0.635 4.116
Pr 4.116 5.387 0.635
Pr 6.436 6.436 6.436
CELL_PARAMETERS angstrom
9.503 0.000 0.000
0.000 9.503 0.000
0.000 0.000 9.503
! - E_form (uncorrected): -1049 meV/atom
! - Symmetry: P2_13
! - Electronic total energy: -5.79 eV per atom
! - DOS(E_F): 29.476 states/eV/cell
! - Size of the total moment: 0.00 μB per formula unit

---

Record 2
! Pr5Y5Sb6 PBE-GGA relaxed; values from VASP
&SYSTEM
  ibrav = 0, nat = 16, ntyp = 3
/
ATOMIC_SPECIES
Pr 140.91 Pr.upf
Sb 121.76 Sb.upf
Y 88.91 Y.upf
ATOMIC_POSITIONS angstrom
Pr 4.829 2.625 4.614
Pr 4.829 5.309 0.022
Pr 1.610 5.309 0.022
Pr 1.610 2.625 4.614
Pr 0.000 1.941 1.134
Sb 0.000 7.961 -1.056
Sb 3.220 3.011 1.759
Sb 3.220 7.977 1.118
Sb 0.000 2.989 7.454
Sb 0.000 4.958 2.897
Sb 3.220 4.891 6.401
Y 0.000 -0.054 6.945
Y 3.220 7.998 -2.296
Y 3.220 6.015 3.514
Y 3.220 1.927 8.095
Y 0.000 6.024 -3.457
CELL_PARAMETERS angstrom
6.439 0.000 0.000
0.000 8.031 -4.624
0.000 -0.085 9.266
! - E_form (uncorrected): -948 meV/atom
! - Symmetry: Amm2
! - Electronic total energy: -6.01 eV per atom
! - DOS(E_F): 15.236 states/eV/cell
! - Size of the total moment: 1.07 μB per formula unit

---

Look up the size of the total moment of the first one.
0.00 μB per formula unit

---

Which of these has the lowest electronic total energy?
Pr5Y5Sb6

---

The highest size of the total moment belongs to which entry?
Pr5Y5Sb6

---

What is the formula in the second record?
Pr5Y5Sb6